No. 1
This record from Alexandria via LeMat-Bulk describes a geometry-optimized La3Sm2Ho8 structure. The functional is PBE.

Geometry as POSCAR:
```
La3Sm2Ho8
1.0
10.185 -3.866 0.000
10.185 3.866 0.000
-0.002 0.000 5.650
La Sm Ho
3 2 8
Direct
0.000 0.000 0.000 La
0.300 0.700 0.500 La
0.700 0.300 0.500 La
0.241 0.241 0.999 Sm
0.759 0.759 0.001 Sm
0.135 0.135 0.500 Ho
0.183 0.599 0.000 Ho
0.330 0.330 0.499 Ho
0.401 0.817 0.000 Ho
0.599 0.183 0.000 Ho
0.670 0.670 0.501 Ho
0.817 0.401 0.000 Ho
0.865 0.865 0.500 Ho
```

Formation energy from the elements (eV per atom): 0.2557
Total moment (μB/f.u.): 0.00
DOS at the Fermi energy (states/eV per atom): 1.84
Calculated volume (Å³/atom): 34.2
Distance to the lowest polymorph of the same formula (meV/atom): 171


No. 2
This record from Alexandria via LeMat-Bulk describes a geometry-optimized La6Sm2Ho structure. The functional is PBE.

Geometry as POSCAR:
```
La6Sm2Ho
1.0
3.673 0.000 0.000
-1.836 3.181 0.000
0.000 0.000 27.660
La Sm Ho
6 2 1
Direct
0.000 0.000 0.064 La
0.000 0.000 0.280 La
0.000 0.000 0.720 La
0.000 0.000 0.936 La
0.333 0.667 0.395 La
0.333 0.667 0.605 La
0.333 0.667 0.170 Sm
0.333 0.667 0.830 Sm
0.000 0.000 0.500 Ho
```

Formation energy from the elements (eV per atom): 0.0575
Total moment (μB/f.u.): 0.00
DOS at the Fermi energy (states/eV per atom): 1.93
Calculated volume (Å³/atom): 35.9
Distance to the lowest polymorph of the same formula (meV/atom): 0


No. 3
This record from Alexandria via LeMat-Bulk describes a geometry-optimized LaSm3Ho7 structure. The functional is PBE.

Geometry as POSCAR:
```
LaSm3Ho7
1.0
7.068 0.000 0.000
-3.534 6.121 0.000
0.000 0.000 8.692
La Sm Ho
1 3 7
Direct
0.000 0.000 0.000 La
0.167 0.335 0.661 Sm
0.167 0.833 0.661 Sm
0.665 0.833 0.661 Sm
0.002 0.501 0.000 Ho
0.333 0.166 0.328 Ho
0.333 0.667 0.325 Ho
0.499 0.501 0.000 Ho
0.499 0.998 0.000 Ho
0.834 0.166 0.328 Ho
0.834 0.667 0.328 Ho
```

Formation energy from the elements (eV per atom): 0.1905
Total moment (μB/f.u.): 0.00
DOS at the Fermi energy (states/eV per atom): 1.59
Calculated volume (Å³/atom): 34.2
Distance to the lowest polymorph of the same formula (meV/atom): 45


No. 4
This record from Alexandria via LeMat-Bulk describes a geometry-optimized La4Sm5Ho4 structure. The functional is PBE.

Geometry as POSCAR:
```
La4Sm5Ho4
1.0
-6.551 6.551 2.577
6.551 -6.551 2.577
6.551 6.551 -2.577
La Sm Ho
4 5 4
Direct
0.078 0.617 0.695 La
0.383 0.078 0.460 La
0.617 0.922 0.540 La
0.922 0.383 0.305 La
0.000 0.000 0.000 Sm
0.311 0.459 0.770 Sm
0.459 0.689 0.148 Sm
0.541 0.311 0.852 Sm
0.689 0.541 0.230 Sm
0.153 0.230 0.384 Ho
0.230 0.847 0.077 Ho
0.770 0.153 0.923 Ho
0.847 0.770 0.616 Ho
```

Formation energy from the elements (eV per atom): 0.0247
Total moment (μB/f.u.): 0.00
DOS at the Fermi energy (states/eV per atom): 1.60
Calculated volume (Å³/atom): 34.0


No. 5
This record from Alexandria via LeMat-Bulk describes a geometry-optimized LaSm3Ho structure. The functional is PBE.

Geometry as POSCAR:
```
LaSm3Ho
1.0
8.833 -3.418 0.000
8.833 3.418 0.000
-2.046 0.000 5.666
La Sm Ho
2 6 2
Direct
0.000 0.000 0.000 La
0.000 0.000 0.500 La
0.113 0.580 0.596 Sm
0.229 0.229 0.978 Sm
0.420 0.887 0.404 Sm
0.580 0.113 0.596 Sm
0.771 0.771 0.022 Sm
0.887 0.420 0.404 Sm
0.450 0.450 0.200 Ho
0.550 0.550 0.800 Ho
```

Formation energy from the elements (eV per atom): 0.1904
Total moment (μB/f.u.): 0.00
DOS at the Fermi energy (states/eV per atom): 1.50
Calculated volume (Å³/atom): 34.2
Distance to the lowest polymorph of the same formula (meV/atom): 170


No. 6
This record from Alexandria via LeMat-Bulk describes a geometry-optimized La5SmHo structure. The functional is PBE.

Geometry as POSCAR:
```
La5SmHo
1.0
6.946 -5.552 0.000
6.946 5.552 0.000
-5.494 0.000 6.794
La Sm Ho
10 2 2
Direct
0.049 0.951 0.750 La
0.249 0.254 0.755 La
0.251 0.749 0.054 La
0.251 0.749 0.446 La
0.254 0.249 0.255 La
0.746 0.751 0.745 La
0.749 0.251 0.554 La
0.749 0.251 0.946 La
0.751 0.746 0.245 La
0.951 0.049 0.250 La
0.451 0.549 0.750 Sm
0.549 0.451 0.250 Sm
0.000 0.500 0.500 Ho
0.500 0.000 0.000 Ho
```

Formation energy from the elements (eV per atom): 0.1677
Total moment (μB/f.u.): 0.00
DOS at the Fermi energy (states/eV per atom): 1.40
Calculated volume (Å³/atom): 37.4
Distance to the lowest polymorph of the same formula (meV/atom): 10


No. 7
This record from Alexandria via LeMat-Bulk describes a geometry-optimized LaSm5Ho3 structure. The functional is PBE.

Geometry as POSCAR:
```
LaSm5Ho3
1.0
9.345 -3.212 0.000
9.345 3.212 0.000
-4.454 0.000 10.407
La Sm Ho
2 10 6
Direct
0.141 0.859 0.750 La
0.859 0.141 0.250 La
0.010 0.651 0.133 Sm
0.125 0.538 0.792 Sm
0.349 0.990 0.367 Sm
0.395 0.605 0.250 Sm
0.462 0.875 0.708 Sm
0.538 0.125 0.292 Sm
0.605 0.395 0.750 Sm
0.651 0.010 0.633 Sm
0.875 0.462 0.208 Sm
0.990 0.349 0.867 Sm
0.000 0.000 0.000 Ho
0.000 0.000 0.500 Ho
0.138 0.537 0.485 Ho
0.463 0.862 0.015 Ho
0.537 0.138 0.985 Ho
0.862 0.463 0.515 Ho
```

Formation energy from the elements (eV per atom): 0.2902
Total moment (μB/f.u.): 0.00
DOS at the Fermi energy (states/eV per atom): 1.45
Calculated volume (Å³/atom): 34.7
Distance to the lowest polymorph of the same formula (meV/atom): 0


No. 8
This record from Alexandria via LeMat-Bulk describes a geometry-optimized La7Sm2Ho structure. The functional is PBE.

Geometry as POSCAR:
```
La7Sm2Ho
1.0
9.019 0.000 0.000
0.000 3.518 0.000
-4.405 0.000 11.173
La Sm Ho
7 2 1
Direct
0.000 0.000 0.000 La
0.191 0.000 0.306 La
0.222 0.000 0.807 La
0.393 0.500 0.113 La
0.607 0.500 0.887 La
0.778 0.000 0.193 La
0.809 0.000 0.694 La
0.396 0.000 0.601 Sm
0.604 0.000 0.399 Sm
0.000 0.500 0.500 Ho
```

Formation energy from the elements (eV per atom): 0.1317
Total moment (μB/f.u.): 0.00
DOS at the Fermi energy (states/eV per atom): 1.91
Calculated volume (Å³/atom): 35.4
Distance to the lowest polymorph of the same formula (meV/atom): 0


No. 9
This record from Alexandria via LeMat-Bulk describes a geometry-optimized LaSm3Ho6 structure. The functional is PBE.

Geometry as POSCAR:
```
LaSm3Ho6
1.0
4.764 -7.700 0.000
4.764 7.700 0.000
0.000 0.000 8.973
La Sm Ho
2 6 12
Direct
0.225 0.775 0.500 La
0.775 0.225 0.000 La
0.052 0.948 0.270 Sm
0.191 0.313 0.090 Sm
0.313 0.191 0.590 Sm
0.687 0.809 0.090 Sm
0.809 0.687 0.590 Sm
0.948 0.052 0.770 Sm
0.030 0.318 0.418 Ho
0.176 0.473 0.758 Ho
0.284 0.716 0.134 Ho
0.318 0.030 0.918 Ho
0.451 0.549 0.402 Ho
0.473 0.176 0.258 Ho
0.527 0.824 0.758 Ho
0.549 0.451 0.902 Ho
0.682 0.970 0.418 Ho
0.716 0.284 0.634 Ho
0.824 0.527 0.258 Ho
0.970 0.682 0.918 Ho
```

Formation energy from the elements (eV per atom): 0.1278
Total moment (μB/f.u.): 0.00
DOS at the Fermi energy (states/eV per atom): 1.24
Calculated volume (Å³/atom): 32.9
Distance to the lowest polymorph of the same formula (meV/atom): 0


No. 10
This record from Alexandria via LeMat-Bulk describes a geometry-optimized La12SmHo6 structure. The functional is PBE.

Geometry as POSCAR:
```
La12SmHo6
1.0
7.493 4.326 3.504
-7.493 4.326 3.504
0.000 -8.652 3.504
La Sm Ho
12 1 6
Direct
0.126 0.822 0.286 La
0.178 0.714 0.874 La
0.196 0.580 0.485 La
0.286 0.126 0.822 La
0.420 0.515 0.804 La
0.485 0.196 0.580 La
0.515 0.804 0.420 La
0.580 0.485 0.196 La
0.714 0.874 0.178 La
0.804 0.420 0.515 La
0.822 0.286 0.126 La
0.874 0.178 0.714 La
0.000 0.000 0.000 Sm
0.081 0.191 0.449 Ho
0.191 0.449 0.081 Ho
0.449 0.081 0.191 Ho
0.551 0.919 0.809 Ho
0.809 0.551 0.919 Ho
0.919 0.809 0.551 Ho
```

Formation energy from the elements (eV per atom): 0.2237
Total moment (μB/f.u.): 0.00
DOS at the Fermi energy (states/eV per atom): 1.75
Calculated volume (Å³/atom): 35.9


No. 11
This record from Alexandria via LeMat-Bulk describes a geometry-optimized La5Sm2Ho3 structure. The functional is PBE.

Geometry as POSCAR:
```
La5Sm2Ho3
1.0
5.492 -7.458 0.000
5.492 7.458 0.000
-5.484 0.000 8.598
La Sm Ho
10 4 6
Direct
0.018 0.982 0.750 La
0.122 0.382 0.752 La
0.225 0.775 0.750 La
0.382 0.122 0.252 La
0.476 0.524 0.250 La
0.524 0.476 0.750 La
0.618 0.878 0.748 La
0.775 0.225 0.250 La
0.878 0.618 0.248 La
0.982 0.018 0.250 La
0.027 0.285 0.062 Sm
0.285 0.027 0.562 Sm
0.715 0.973 0.438 Sm
0.973 0.715 0.938 Sm
0.223 0.475 0.443 Ho
0.269 0.731 0.250 Ho
0.475 0.223 0.943 Ho
0.525 0.777 0.057 Ho
0.731 0.269 0.750 Ho
0.777 0.525 0.557 Ho
```

Formation energy from the elements (eV per atom): 0.1608
Total moment (μB/f.u.): 0.00
DOS at the Fermi energy (states/eV per atom): 1.74
Calculated volume (Å³/atom): 35.2


No. 12
This record from Alexandria via LeMat-Bulk describes a geometry-optimized La5Sm6Ho structure. The functional is PBE.

Geometry as POSCAR:
```
La5Sm6Ho
1.0
3.179 -5.509 0.000
3.179 5.509 0.000
-2.126 0.000 11.937
La Sm Ho
5 6 1
Direct
0.000 0.000 0.000 La
0.167 0.833 0.500 La
0.334 0.666 0.000 La
0.666 0.334 0.000 La
0.833 0.167 0.500 La
0.086 0.417 0.252 Sm
0.251 0.251 0.748 Sm
0.417 0.086 0.252 Sm
0.583 0.914 0.748 Sm
0.749 0.749 0.252 Sm
0.914 0.583 0.748 Sm
0.500 0.500 0.500 Ho
```

Formation energy from the elements (eV per atom): 0.0153
Total moment (μB/f.u.): 0.00
DOS at the Fermi energy (states/eV per atom): 1.52
Calculated volume (Å³/atom): 34.8